Record 1
This record from Alexandria describes a relaxed structure of LaPrYTh. The functional is PBE.

The value obtained for the formation enthalpy at 0 K is 43 meV per atom. The uncorrected energy comes out at -5.86 eV/atom. For the relative energy among the computed polymorphs, the calculation gives 0.0 kJ/mol of atoms.

The structure belongs to space group R3m (No. 160, hexagonal axes); the cell edges are 3.6400, 3.6400 and 35.8767 Å and the angles 90.00°, 90.00° and 120.00°. The inequivalent atoms are La at (0.0000, 0.0000, 0.0000), Pr at (0.0000, 0.0000, 0.5802), Y at (0.0000, 0.0000, 0.4165) and Th at (0.0000, 0.0000, 0.8305).



Record 2
This record from Alexandria describes a relaxed structure of LaPrYTh2. The functional is PBE.

The value obtained for the formation enthalpy at 0 K is 357 meV per atom. The uncorrected energy comes out at -5.85 eV/atom.

The structure belongs to space group Cmcm (No. 63); the cell edges are 6.7417, 15.9564 and 6.7849 Å and the angles 90.00°, 90.00° and 90.00°. The inequivalent atoms are La at (0.0000, 0.2294, 0.2500), Pr at (0.0000, 0.3500, 0.7500), Y at (0.0000, 0.1518, 0.7500) and Th at (0.2456, 0.0000, 0.0000).